Entry 1:
Computed, not measured: an optimized crystal structure of Ac4TePt2Se at the PBE level of DFT.

calculated total energy = -46.6 eV/f.u.
Fermi-level density of states = 3.53 states/eV/cell
E_form (uncorrected) = -33.0 kcal/mol of atoms
theoretical density = 9.3 g cm⁻³

Cell and atoms, written as CIF:
```
data_Ac4TePt2Se
_chemical_formula_sum 'Ac4 Te1 Pt2 Se1'
_cell_length_a 7.6581
_cell_length_b 4.4015
_cell_length_c 8.3291
_cell_angle_alpha 90.00
_cell_angle_beta 107.73
_cell_angle_gamma 90.00
_space_group_name_H-M_alt 'P 1 2/m 1'
_space_group_IT_number 10
loop_
_space_group_symop_operation_xyz
'x,y,z'
'-x,-y,-z'
'-x,y,-z'
'x,-y,z'
loop_
_atom_site_label
_atom_site_type_symbol
_atom_site_fract_x
_atom_site_fract_y
_atom_site_fract_z
Ac1 Ac 0.2339 0.0000 0.2168
Ac2 Ac 0.2539 0.5000 0.7775
Te1 Te 0.5000 0.5000 0.5000
Pt1 Pt 0.0000 0.5000 0.0000
Pt2 Pt 0.5000 0.0000 0.0000
Se1 Se 0.0000 0.0000 0.5000
```

---

Entry 2:
Computed, not measured: an optimized crystal structure of HoAl4Cu2Pt at the PBE level of DFT.

calculated total energy = -37.7 eV/f.u.
Fermi-level density of states = 8.34 states/eV/cell
energy of formation from the pure elements = -0.49 eV per atom
theoretical density = 7.3 g cm⁻³

Cell and atoms, written as CIF:
```
data_HoAl4Cu2Pt
_chemical_formula_sum 'Ho3 Al12 Cu6 Pt3'
_cell_length_a 4.1987
_cell_length_b 4.1987
_cell_length_c 26.5271
_cell_angle_alpha 90.00
_cell_angle_beta 90.00
_cell_angle_gamma 120.00
_space_group_name_H-M_alt 'R -3 m'
_space_group_IT_number 166
_space_group_name_Hall '-R 3 2"'
loop_
_atom_site_label
_atom_site_type_symbol
_atom_site_fract_x
_atom_site_fract_y
_atom_site_fract_z
Ho1 Ho 0.0000 0.0000 0.0000
Al1 Al 0.0000 0.0000 0.1284
Al2 Al 0.0000 0.0000 0.4030
Cu1 Cu 0.0000 0.0000 0.2502
Pt1 Pt 0.0000 0.0000 0.5000
```